Compound: NaRuBr6
Source: the Alexandria database
Functional: GGA-PBE
Structure: relaxed

Computed properties:
uncorrected formation energy = -10.67 kcal/mol of atoms
excess energy over the best structure of this formula in the dataset = 0 meV per atom

POSCAR file:
```
NaRuBr6
1.0
6.797 0.009 0.005
3.391 5.896 0.009
3.386 1.959 6.131
Ru Br Na
1 6 1
direct
0.000 0.000 0.000
0.038 0.396 0.768
0.962 0.604 0.232
0.604 0.202 0.232
0.203 0.962 0.232
0.396 0.798 0.768
0.797 0.038 0.768
0.500 0.500 0.500
```